# KIrSe2, optimized geometry, DFT PBE-GGA
# Energy relative to the elements, uncorrected   -0.401 eV/atom
# ρ   5.98 g/cm³
# Total moment   0.0000 μB/atom
# Space-group type   Immm, No. 71
data_KIrSe2
_symmetry_space_group_name_H-M 'P 1'
_symmetry_Int_Tables_number 1
_cell_length_a 5.8760
_cell_length_b 5.8760
_cell_length_c 5.8760
_cell_angle_alpha 143.47
_cell_angle_beta 113.47
_cell_angle_gamma 78.35
loop_
_symmetry_equiv_pos_as_xyz
'x,y,z'
loop_
_atom_site_label
_atom_site_type_symbol
_atom_site_fract_x
_atom_site_fract_y
_atom_site_fract_z
Se1 Se 0.9236 0.9236 0.0000
Se2 Se 0.5764 0.5764 0.0000
Ir1 Ir 0.7500 0.2500 0.5000
K1 K 0.2500 0.7500 0.5000


# LaSc3Be, optimized geometry, DFT PBE-GGA
# Formation energy from the elements   0.177 eV/atom
# Energy above the lowest structure with this stoichiometry   0 meV per atom
# ρ   3.73 g/cm³
# Total moment   0.0000 μB/atom
# Space-group type   Pm-3m, No. 221
data_LaSc3Be
_symmetry_space_group_name_H-M 'P 1'
_symmetry_Int_Tables_number 1
_cell_length_a 5.0102
_cell_length_b 5.0102
_cell_length_c 5.0102
_cell_angle_alpha 90.00
_cell_angle_beta 90.00
_cell_angle_gamma 90.00
loop_
_symmetry_equiv_pos_as_xyz
'x,y,z'
loop_
_atom_site_label
_atom_site_type_symbol
_atom_site_fract_x
_atom_site_fract_y
_atom_site_fract_z
Sc1 Sc 0.0000 0.0000 0.5000
Sc2 Sc 0.5000 0.0000 0.0000
Sc3 Sc 0.0000 0.5000 0.0000
La1 La 0.5000 0.5000 0.5000
Be1 Be 0.0000 0.0000 0.0000


# RbZnFeBi2, optimized geometry, DFT PBE-GGA
# Formation energy from the elements   0.444 eV/atom
# ρ   6.23 g/cm³
# Total moment   0.4409 μB/atom
# Space-group type   P4/mmm, No. 123
data_RbZnFeBi2
_symmetry_space_group_name_H-M 'P 1'
_symmetry_Int_Tables_number 1
_cell_length_a 5.0301
_cell_length_b 6.5854
_cell_length_c 5.0301
_cell_angle_alpha 90.00
_cell_angle_beta 90.00
_cell_angle_gamma 90.00
loop_
_symmetry_equiv_pos_as_xyz
'x,y,z'
loop_
_atom_site_label
_atom_site_type_symbol
_atom_site_fract_x
_atom_site_fract_y
_atom_site_fract_z
Bi1 Bi 0.0000 0.0000 0.5000
Bi2 Bi 0.5000 0.0000 0.0000
Rb1 Rb 0.0000 0.5000 0.0000
Fe1 Fe 0.0000 0.0000 0.0000
Zn1 Zn 0.5000 0.5000 0.5000


# DyTh2Si, optimized geometry, DFT PBE-GGA
# Energy relative to the elements, uncorrected   0.117 eV/atom
# ρ   8.29 g/cm³
# Total moment   0.0001 μB/atom
# Space-group type   R-3m, No. 166
data_DyTh2Si
_symmetry_space_group_name_H-M 'P 1'
_symmetry_Int_Tables_number 1
_cell_length_a 3.8075
_cell_length_b 3.8075
_cell_length_c 10.6727
_cell_angle_alpha 79.72
_cell_angle_beta 79.72
_cell_angle_gamma 60.00
loop_
_symmetry_equiv_pos_as_xyz
'x,y,z'
loop_
_atom_site_label
_atom_site_type_symbol
_atom_site_fract_x
_atom_site_fract_y
_atom_site_fract_z
Th1 Th 0.1087 0.1087 0.6740
Th2 Th 0.8913 0.8913 0.3260
Dy1 Dy 0.0000 0.0000 0.0000
Si1 Si 0.5000 0.5000 0.5000


# PmSm3Ge2, optimized geometry, DFT PBE-GGA
# Formation energy from the elements   -0.312 eV/atom
# Energy above the lowest structure with this stoichiometry   263 meV per atom
# ρ   6.92 g/cm³
# Total moment   0.0000 μB/atom
# Space-group type   R-3c, No. 167
data_PmSm3Ge2
_symmetry_space_group_name_H-M 'P 1'
_symmetry_Int_Tables_number 1
_cell_length_a 8.1877
_cell_length_b 8.1877
_cell_length_c 8.1877
_cell_angle_alpha 56.38
_cell_angle_beta 56.38
_cell_angle_gamma 56.38
loop_
_symmetry_equiv_pos_as_xyz
'x,y,z'
loop_
_atom_site_label
_atom_site_type_symbol
_atom_site_fract_x
_atom_site_fract_y
_atom_site_fract_z
Ge1 Ge 0.1455 0.1455 0.1455
Ge2 Ge 0.3545 0.3545 0.3545
Ge3 Ge 0.8545 0.8545 0.8545
Ge4 Ge 0.6455 0.6455 0.6455
Pm1 Pm 0.5000 0.5000 0.5000
Pm2 Pm 0.0000 0.0000 0.0000
Sm1 Sm 0.5243 0.9757 0.2500
Sm2 Sm 0.0243 0.7500 0.4757
Sm3 Sm 0.2500 0.5243 0.9757
Sm4 Sm 0.7500 0.4757 0.0243
Sm5 Sm 0.9757 0.2500 0.5243
Sm6 Sm 0.4757 0.0243 0.7500


# Sr2CaCdHg6, optimized geometry, DFT PBE-GGA
# Formation energy from the elements   -0.116 eV/atom
# ρ   7.09 g/cm³
# Total moment   0.0000 μB/atom
# Space-group type   Fm-3m, No. 225
data_Sr2CaCdHg6
_symmetry_space_group_name_H-M 'P 1'
_symmetry_Int_Tables_number 1
_cell_length_a 7.9767
_cell_length_b 7.9767
_cell_length_c 7.9767
_cell_angle_alpha 60.00
_cell_angle_beta 60.00
_cell_angle_gamma 90.00
loop_
_symmetry_equiv_pos_as_xyz
'x,y,z'
loop_
_atom_site_label
_atom_site_type_symbol
_atom_site_fract_x
_atom_site_fract_y
_atom_site_fract_z
Hg1 Hg 0.7546 0.7546 0.0000
Hg2 Hg 0.7546 0.2454 0.0000
Hg3 Hg 0.2454 0.2454 0.5093
Hg4 Hg 0.7546 0.7546 0.4907
Hg5 Hg 0.2454 0.2454 0.0000
Hg6 Hg 0.2454 0.7546 0.0000
Cd1 Cd 0.0000 0.0000 0.0000
Sr1 Sr 0.2500 0.7500 0.5000
Sr2 Sr 0.7500 0.2500 0.5000
Ca1 Ca 0.5000 0.5000 0.0000


# RuF, optimized geometry, DFT PBE-GGA
# Energy relative to the elements, uncorrected   0.724 eV/atom
# Energy above the lowest structure with this stoichiometry   1409 meV per atom
# ρ   4.47 g/cm³
# Total moment   1.6420 μB/atom
# Space-group type   Pm-3n, No. 223
data_RuF
_symmetry_space_group_name_H-M 'P 1'
_symmetry_Int_Tables_number 1
_cell_length_a 6.4444
_cell_length_b 6.4444
_cell_length_c 6.4444
_cell_angle_alpha 90.00
_cell_angle_beta 90.00
_cell_angle_gamma 90.00
loop_
_symmetry_equiv_pos_as_xyz
'x,y,z'
loop_
_atom_site_label
_atom_site_type_symbol
_atom_site_fract_x
_atom_site_fract_y
_atom_site_fract_z
Ru1 Ru 0.5000 0.0000 0.7500
Ru2 Ru 0.5000 0.0000 0.2500
Ru3 Ru 0.0000 0.7500 0.5000
Ru4 Ru 0.7500 0.5000 0.0000
Ru5 Ru 0.0000 0.2500 0.5000
Ru6 Ru 0.2500 0.5000 0.0000
F1 F 0.2500 0.0000 0.5000
F2 F 0.0000 0.5000 0.2500
F3 F 0.7500 0.0000 0.5000
F4 F 0.5000 0.2500 0.0000
F5 F 0.5000 0.7500 0.0000
F6 F 0.0000 0.5000 0.7500


# Rb3Mg2CdCl9, optimized geometry, DFT PBE-GGA
# Energy relative to the elements, uncorrected   -1.748 eV/atom
# ρ   3.01 g/cm³
# Total moment   0.0000 μB/atom
# Space-group type   P-3m1, No. 164
data_Rb3Mg2CdCl9
_symmetry_space_group_name_H-M 'P 1'
_symmetry_Int_Tables_number 1
_cell_length_a 7.2576
_cell_length_b 7.2576
_cell_length_c 8.9044
_cell_angle_alpha 90.00
_cell_angle_beta 90.00
_cell_angle_gamma 120.00
loop_
_symmetry_equiv_pos_as_xyz
'x,y,z'
loop_
_atom_site_label
_atom_site_type_symbol
_atom_site_fract_x
_atom_site_fract_y
_atom_site_fract_z
Cl1 Cl 0.1707 0.3414 0.3266
Cl2 Cl 0.5000 0.0000 0.0000
Cl3 Cl 0.5000 0.5000 0.0000
Cl4 Cl 0.1707 0.8293 0.3266
Cl5 Cl 0.8293 0.6586 0.6734
Cl6 Cl 0.3414 0.1707 0.6734
Cl7 Cl 0.0000 0.5000 0.0000
Cl8 Cl 0.6586 0.8293 0.3266
Cl9 Cl 0.8293 0.1707 0.6734
Mg1 Mg 0.3333 0.6667 0.1600
Mg2 Mg 0.6667 0.3333 0.8400
Cd1 Cd 0.0000 0.0000 0.5000
Rb1 Rb 0.3333 0.6667 0.6656
Rb2 Rb 0.0000 0.0000 0.0000
Rb3 Rb 0.6667 0.3333 0.3344


# Ga3RhC, optimized geometry, DFT PBE-GGA
# Formation energy from the elements   0.998 eV/atom
# Energy above the lowest structure with this stoichiometry   360 meV per atom
# ρ   4.97 g/cm³
# Total moment   0.4529 μB/atom
# Space-group type   Pm-3m, No. 221
data_Ga3RhC
_symmetry_space_group_name_H-M 'P 1'
_symmetry_Int_Tables_number 1
_cell_length_a 4.7675
_cell_length_b 4.7675
_cell_length_c 4.7675
_cell_angle_alpha 90.00
_cell_angle_beta 90.00
_cell_angle_gamma 90.00
loop_
_symmetry_equiv_pos_as_xyz
'x,y,z'
loop_
_atom_site_label
_atom_site_type_symbol
_atom_site_fract_x
_atom_site_fract_y
_atom_site_fract_z
C1 C 0.5000 0.5000 0.5000
Ga1 Ga 0.5000 0.0000 0.0000
Ga2 Ga 0.0000 0.5000 0.0000
Ga3 Ga 0.0000 0.0000 0.5000
Rh1 Rh 0.0000 0.0000 0.0000


# Na3IrAu, optimized geometry, DFT PBE-GGA
# Formation energy from the elements   0.813 eV/atom
# Energy above the lowest structure with this stoichiometry   66 meV per atom
# ρ   4.97 g/cm³
# Total moment   0.2043 μB/atom
# Space-group type   Pm-3m, No. 221
data_Na3IrAu
_symmetry_space_group_name_H-M 'P 1'
_symmetry_Int_Tables_number 1
_cell_length_a 5.3492
_cell_length_b 5.3492
_cell_length_c 5.3492
_cell_angle_alpha 90.00
_cell_angle_beta 90.00
_cell_angle_gamma 90.00
loop_
_symmetry_equiv_pos_as_xyz
'x,y,z'
loop_
_atom_site_label
_atom_site_type_symbol
_atom_site_fract_x
_atom_site_fract_y
_atom_site_fract_z
Na1 Na 0.5000 0.0000 0.0000
Na2 Na 0.0000 0.0000 0.5000
Na3 Na 0.0000 0.5000 0.0000
Ir1 Ir 0.5000 0.5000 0.5000
Au1 Au 0.0000 0.0000 0.0000


# KVNiCl6, optimized geometry, DFT PBE-GGA
# Energy relative to the elements, uncorrected   -1.172 eV/atom
# ρ   2.51 g/cm³
# Total moment   0.4531 μB/atom
# Space-group type   P312, No. 149
data_KVNiCl6
_symmetry_space_group_name_H-M 'P 1'
_symmetry_Int_Tables_number 1
_cell_length_a 6.2621
_cell_length_b 6.2620
_cell_length_c 7.0316
_cell_angle_alpha 90.00
_cell_angle_beta 90.00
_cell_angle_gamma 60.00
loop_
_symmetry_equiv_pos_as_xyz
'x,y,z'
loop_
_atom_site_label
_atom_site_type_symbol
_atom_site_fract_x
_atom_site_fract_y
_atom_site_fract_z
Cl1 Cl 0.6284 0.3705 0.6931
Cl2 Cl 0.3704 0.0011 0.6931
Cl3 Cl 0.0011 0.3705 0.3069
Cl4 Cl 0.3704 0.6284 0.3069
Cl5 Cl 0.6284 0.0011 0.3069
Cl6 Cl 0.0011 0.6284 0.6931
Ni1 Ni 0.6666 0.6667 0.5000
K1 K 0.0000 0.0000 0.0000
V1 V 0.3333 0.3333 0.5000


# Hf3SiPd, optimized geometry, DFT PBE-GGA
# Energy relative to the elements, uncorrected   0.273 eV/atom
# Energy above the lowest structure with this stoichiometry   0 meV per atom
# ρ   9.86 g/cm³
# Total moment   0.0000 μB/atom
# Space-group type   Pm-3m, No. 221
data_Hf3SiPd
_symmetry_space_group_name_H-M 'P 1'
_symmetry_Int_Tables_number 1
_cell_length_a 4.8314
_cell_length_b 4.8314
_cell_length_c 4.8314
_cell_angle_alpha 90.00
_cell_angle_beta 90.00
_cell_angle_gamma 90.00
loop_
_symmetry_equiv_pos_as_xyz
'x,y,z'
loop_
_atom_site_label
_atom_site_type_symbol
_atom_site_fract_x
_atom_site_fract_y
_atom_site_fract_z
Hf1 Hf 0.0000 0.0000 0.5000
Hf2 Hf 0.5000 0.0000 0.0000
Hf3 Hf 0.0000 0.5000 0.0000
Si1 Si 0.0000 0.0000 0.0000
Pd1 Pd 0.5000 0.5000 0.5000